Density functional theory data (PBE) for an optimized crystal structure of KAgCl2.

Lattice parameters (Å, degrees): 7.5239 7.5239 4.3776 96.52 96.52 31.87
Sites, in units of the cell vectors:
K1 0.0000 0.0000 0.0000
Ag1 0.7340 0.7340 0.7572
Cl1 0.3275 0.3275 0.9355
Cl2 0.5689 0.5689 0.5255

- Calculated volume: 129.9 Å³/cell
- Calculated density: 2.78 g cm⁻³
- Size of the total moment: 0.00 μB per cell
- VASP energy: -3.077 eV/atom

=====

Density functional theory data (PBE) for an optimized crystal structure of YCl.

Lattice parameters (Å, degrees): 8.0299 8.0299 3.7722 90.00 90.00 90.00
Sites, in units of the cell vectors:
Y1 0.2055 0.2055 0.0000
Y2 0.2945 0.7055 0.5000
Y3 0.7055 0.2945 0.5000
Y4 0.7945 0.7945 0.0000
Cl1 0.1267 0.8733 0.0000
Cl2 0.3733 0.3733 0.5000
Cl3 0.6267 0.6267 0.5000
Cl4 0.8733 0.1267 0.0000

- Calculated volume: 243.2 Å³/cell
- Calculated density: 3.40 g cm⁻³
- Size of the total moment: 0.00 μB per cell
- VASP energy: -5.091 eV/atom

=====

Density functional theory data (PBE) for an optimized crystal structure of Ba11HgIr2.

Lattice parameters (Å, degrees): 12.8923 12.8923 12.8923 112.50 112.26 103.79
Sites, in units of the cell vectors:
Ba1 0.0000 0.0000 0.0000
Ba2 0.0697 0.8528 0.6535
Ba3 0.0870 0.4325 0.7921
Ba4 0.1404 0.9325 0.3455
Ba5 0.1941 0.8082 0.0023
Ba6 0.1993 0.4162 0.3465
Ba7 0.3007 0.6472 0.2170
Ba8 0.3059 0.3082 0.6142
Ba9 0.3596 0.7051 0.7921
Ba10 0.4130 0.2051 0.3455
Ba11 0.4303 0.0838 0.7830
Ba12 0.5000 0.5000 0.0000
Ba13 0.5697 0.9162 0.2170
Ba14 0.5870 0.7949 0.6545
Ba15 0.6404 0.2949 0.2079
Ba16 0.6941 0.6918 0.3858
Ba17 0.6993 0.3528 0.7830
Ba18 0.8007 0.5838 0.6535
Ba19 0.8059 0.1918 0.9977
Ba20 0.8596 0.0675 0.6545
Ba21 0.9130 0.5675 0.2079
Ba22 0.9303 0.1472 0.3465
Hg1 0.2500 0.7500 0.5000
Hg2 0.7500 0.2500 0.5000
Ir1 0.1587 0.1619 0.3206
Ir2 0.3413 0.6619 0.0032
Ir3 0.6587 0.3381 0.9968
Ir4 0.8413 0.8381 0.6794

- DFT formation energy: -36 meV/atom
- Calculated volume: 1637.6 Å³/cell
- Calculated density: 4.25 g cm⁻³
- Size of the total moment: 0.00 μB per cell

=====

Density functional theory data (PBE) for an optimized crystal structure of DyGa3CoOs.

Lattice parameters (Å, degrees): 6.4766 6.4766 5.5770 90.00 90.00 106.57
Sites, in units of the cell vectors:
Dy1 0.2112 0.7888 0.7500
Dy2 0.7888 0.2112 0.2500
Ga1 0.2516 0.2516 0.0000
Ga2 0.2516 0.2516 0.5000
Ga3 0.3102 0.6898 0.2500
Ga4 0.6898 0.3102 0.7500
Ga5 0.7484 0.7484 0.0000
Ga6 0.7484 0.7484 0.5000
Co1 0.4701 0.5299 0.7500
Co2 0.5299 0.4701 0.2500
Os1 0.0792 0.9208 0.2500
Os2 0.9208 0.0792 0.7500

- DFT formation energy: -190 meV/atom
- Calculated volume: 224.2 Å³/cell
- Calculated density: 9.20 g cm⁻³
- Size of the total moment: 0.00 μB per cell